! Tb6Ho2Er | the Alexandria database | PBE | relaxed; values from VASP
&SYSTEM
  ibrav = 0, nat = 9, ntyp = 3
/
ATOMIC_SPECIES
Tb 158.93 Tb.upf
Ho 164.93 Ho.upf
Er 167.26 Er.upf
CELL_PARAMETERS angstrom
3.542 0.000 0.000
-0.010 8.663 0.000
-1.762 -0.007 9.191
ATOMIC_POSITIONS crystal
Tb 0.111 0.166 0.221
Tb 0.222 0.833 0.444
Tb 0.334 0.500 0.668
Tb 0.666 0.500 0.332
Tb 0.778 0.167 0.556
Tb 0.889 0.834 0.779
Ho 0.445 0.167 0.890
Ho 0.555 0.833 0.110
Er 0.000 0.500 0.000
! * symmetry: P-1 (2)
! * E: -4.5947 eV/atom
! * offset from the most stable computed form: 0 meV/atom
! * ΔE_f: 0.0164 eV per atom